(A)
GdHoPt2 | PBE | optimized geometry

abc: 4.0747 4.0747 20.0041
angles: 90.00 90.00 120.00
Positions (direct):
Gd1 0.0000 0.0000 0.0000
Gd2 0.3333 0.6667 0.6667
Gd3 0.6667 0.3333 0.3333
Ho1 0.0000 0.0000 0.5000
Ho2 0.3333 0.6667 0.1667
Ho3 0.6667 0.3333 0.8333
Pt1 0.0000 0.0000 0.2481
Pt2 0.0000 0.0000 0.7519
Pt3 0.3333 0.6667 0.4186
Pt4 0.3333 0.6667 0.9148
Pt5 0.6667 0.3333 0.0852
Pt6 0.6667 0.3333 0.5814

Computed properties:
magnetic moment: 7.112 μB/f.u.

(B)
GdHoPt2 | PBE | optimized geometry

abc: 4.9753 4.9753 3.4706
angles: 90.00 90.00 90.00
Positions (direct):
Gd1 0.0000 0.0000 0.0000
Ho1 0.5000 0.5000 0.0000
Pt1 0.0000 0.5000 0.5000
Pt2 0.5000 0.0000 0.5000

Computed properties:
magnetic moment: 7.089 μB/f.u.

Which of them is the least stable? Correct choice: (A).

(A)
GdHoPu2 | PBE | optimized geometry

abc: 3.3899 3.3899 10.0488
angles: 90.00 90.00 90.00
Positions (direct):
Gd1 0.0000 0.0000 0.0000
Ho1 0.0000 0.0000 0.5000
Pu1 0.5000 0.5000 0.2509
Pu2 0.5000 0.5000 0.7491

Computed properties:
magnetic moment: 5.432 μB/f.u.

(B)
GdHoPu2 | PBE | optimized geometry

abc: 4.8324 4.8324 5.0325
angles: 90.00 90.00 90.00
Positions (direct):
Gd1 0.0000 0.0000 0.0000
Ho1 0.5000 0.5000 0.0000
Pu1 0.0000 0.5000 0.5000
Pu2 0.5000 0.0000 0.5000

Computed properties:
magnetic moment: 19.984 μB/f.u.

(C)
GdHoPu2 | PBE | optimized geometry

abc: 7.7811 7.7811 7.7811
angles: 90.00 90.00 90.00
Positions (direct):
Gd1 0.0000 0.0000 0.0000
Gd2 0.0000 0.5000 0.5000
Gd3 0.5000 0.0000 0.5000
Gd4 0.5000 0.5000 0.0000
Ho1 0.0000 0.0000 0.5000
Ho2 0.0000 0.5000 0.0000
Ho3 0.5000 0.0000 0.0000
Ho4 0.5000 0.5000 0.5000
Pu1 0.2500 0.2500 0.2500
Pu2 0.2500 0.2500 0.7500
Pu3 0.2500 0.7500 0.2500
Pu4 0.2500 0.7500 0.7500
Pu5 0.7500 0.2500 0.2500
Pu6 0.7500 0.2500 0.7500
Pu7 0.7500 0.7500 0.2500
Pu8 0.7500 0.7500 0.7500

Computed properties:
magnetic moment: 20.075 μB/f.u.

Which of them is the least stable? Correct choice: (C).